Arrangement 1

Computed, not measured: a geometry-optimized SbOsSI2 structure at the PBE level of DFT.

Computed properties:
**Space group**: P4/mmm (123)
**Crystal system**: tetragonal

Structure (CIF):
```
data_SbOsSI2
_chemical_formula_sum 'Sb1 Os1 S1 I2'
_space_group_name_H-M_alt 'P 1'
_space_group_IT_number 1
_cell_length_a 5.347
_cell_length_b 5.347
_cell_length_c 5.140
_cell_angle_alpha 90.00
_cell_angle_beta 90.00
_cell_angle_gamma 90.00
loop_
_space_group_symop_operation_xyz
'x,y,z'
loop_
_atom_site_label
_atom_site_fract_x
_atom_site_fract_y
_atom_site_fract_z
Sb1 0.000 0.000 0.500
Os1 0.000 0.000 0.000
S1 0.500 0.500 0.500
I1 0.500 0.000 0.000
I2 0.000 0.500 0.000
```

---

Arrangement 2

Computed, not measured: a geometry-optimized SbOsSI2 structure at the PBE level of DFT.

Computed properties:
**Space group**: P4/mmm (123)
**Crystal system**: tetragonal

Structure (CIF):
```
data_SbOsSI2
_chemical_formula_sum 'Sb1 Os1 S1 I2'
_space_group_name_H-M_alt 'P 1'
_space_group_IT_number 1
_cell_length_a 5.488
_cell_length_b 5.488
_cell_length_c 5.227
_cell_angle_alpha 90.00
_cell_angle_beta 90.00
_cell_angle_gamma 90.00
loop_
_space_group_symop_operation_xyz
'x,y,z'
loop_
_atom_site_label
_atom_site_fract_x
_atom_site_fract_y
_atom_site_fract_z
Os1 0.500 0.500 0.500
I1 0.000 0.500 0.000
I2 0.500 0.000 0.000
Sb1 0.000 0.000 0.500
S1 0.000 0.000 0.000
```

---

Q: What are the energies relative to the best structure? A: arrangement 1 0.0; arrangement 2 71.2, in kJ/mol of atoms.

---

Arrangement 1

Computed, not measured: a geometry-optimized Te2OsSI structure at the PBE level of DFT.

Computed properties:
**Space group**: P4/mmm (123)
**Crystal system**: tetragonal

Structure (CIF):
```
data_Te2OsSI
_chemical_formula_sum 'Te2 Os1 S1 I1'
_space_group_name_H-M_alt 'P 1'
_space_group_IT_number 1
_cell_length_a 5.213
_cell_length_b 5.213
_cell_length_c 5.408
_cell_angle_alpha 90.00
_cell_angle_beta 90.00
_cell_angle_gamma 90.00
loop_
_space_group_symop_operation_xyz
'x,y,z'
loop_
_atom_site_label
_atom_site_fract_x
_atom_site_fract_y
_atom_site_fract_z
S1 0.000 0.000 0.000
Te1 0.500 0.000 0.000
Te2 0.000 0.500 0.000
I1 0.000 0.000 0.500
Os1 0.500 0.500 0.500
```

---

Arrangement 2

Computed, not measured: a geometry-optimized Te2OsSI structure at the PBE level of DFT.

Computed properties:
**Space group**: P4/mmm (123)
**Crystal system**: tetragonal

Structure (CIF):
```
data_Te2OsSI
_chemical_formula_sum 'Te2 Os1 S1 I1'
_space_group_name_H-M_alt 'P 1'
_space_group_IT_number 1
_cell_length_a 5.141
_cell_length_b 5.141
_cell_length_c 5.492
_cell_angle_alpha 90.00
_cell_angle_beta 90.00
_cell_angle_gamma 90.00
loop_
_space_group_symop_operation_xyz
'x,y,z'
loop_
_atom_site_label
_atom_site_fract_x
_atom_site_fract_y
_atom_site_fract_z
Os1 0.000 0.000 0.000
Te1 0.000 0.500 0.000
S1 0.500 0.500 0.500
Te2 0.500 0.000 0.000
I1 0.000 0.000 0.500
```

---

Q: What are the energies relative to the best structure? A: arrangement 1 66.4; arrangement 2 0.0, in kJ/mol of atoms.

---

Arrangement 1

Computed, not measured: a geometry-optimized TeOsSI2 structure at the PBE level of DFT.

Computed properties:
**Space group**: P4/mmm (123)
**Crystal system**: tetragonal

Structure (CIF):
```
data_TeOsSI2
_chemical_formula_sum 'Te1 Os1 S1 I2'
_space_group_name_H-M_alt 'P 1'
_space_group_IT_number 1
_cell_length_a 5.440
_cell_length_b 5.440
_cell_length_c 5.325
_cell_angle_alpha 90.00
_cell_angle_beta 90.00
_cell_angle_gamma 90.00
loop_
_space_group_symop_operation_xyz
'x,y,z'
loop_
_atom_site_label
_atom_site_fract_x
_atom_site_fract_y
_atom_site_fract_z
I1 0.000 0.500 0.000
Os1 0.500 0.500 0.500
Te1 0.000 0.000 0.500
S1 0.000 0.000 0.000
I2 0.500 0.000 0.000
```

---

Arrangement 2

Computed, not measured: a geometry-optimized TeOsSI2 structure at the PBE level of DFT.

Computed properties:
**Space group**: P4/mmm (123)
**Crystal system**: tetragonal

Structure (CIF):
```
data_TeOsSI2
_chemical_formula_sum 'Te1 Os1 S1 I2'
_space_group_name_H-M_alt 'P 1'
_space_group_IT_number 1
_cell_length_a 5.431
_cell_length_b 5.431
_cell_length_c 5.054
_cell_angle_alpha 90.00
_cell_angle_beta 90.00
_cell_angle_gamma 90.00
loop_
_space_group_symop_operation_xyz
'x,y,z'
loop_
_atom_site_label
_atom_site_fract_x
_atom_site_fract_y
_atom_site_fract_z
S1 0.500 0.500 0.500
I1 0.500 0.000 0.000
I2 0.000 0.500 0.000
Os1 0.000 0.000 0.000
Te1 0.000 0.000 0.500
```

---

Q: What are the energies relative to the best structure? A: arrangement 1 66.9; arrangement 2 0.0, in kJ/mol of atoms.

---

Arrangement 1

Computed, not measured: a geometry-optimized SiSb2OsI structure at the PBE level of DFT.

Computed properties:
**Space group**: P4/mmm (123)
**Crystal system**: tetragonal

Structure (CIF):
```
data_SiSb2OsI
_chemical_formula_sum 'Si1 Sb2 Os1 I1'
_space_group_name_H-M_alt 'P 1'
_space_group_IT_number 1
_cell_length_a 5.349
_cell_length_b 4.613
_cell_length_c 5.349
_cell_angle_alpha 90.00
_cell_angle_beta 90.00
_cell_angle_gamma 90.00
loop_
_space_group_symop_operation_xyz
'x,y,z'
loop_
_atom_site_label
_atom_site_fract_x
_atom_site_fract_y
_atom_site_fract_z
Sb1 0.500 0.000 0.000
Os1 0.000 0.000 0.000
I1 0.500 0.500 0.500
Sb2 0.000 0.000 0.500
Si1 0.000 0.500 0.000
```

---

Arrangement 2

Computed, not measured: a geometry-optimized SiSb2OsI structure at the PBE level of DFT.

Computed properties:
**Space group**: P4/mmm (123)
**Crystal system**: tetragonal

Structure (CIF):
```
data_SiSb2OsI
_chemical_formula_sum 'Si1 Sb2 Os1 I1'
_space_group_name_H-M_alt 'P 1'
_space_group_IT_number 1
_cell_length_a 5.037
_cell_length_b 5.037
_cell_length_c 5.747
_cell_angle_alpha 90.00
_cell_angle_beta 90.00
_cell_angle_gamma 90.00
loop_
_space_group_symop_operation_xyz
'x,y,z'
loop_
_atom_site_label
_atom_site_fract_x
_atom_site_fract_y
_atom_site_fract_z
Sb1 0.500 0.000 0.000
Os1 0.000 0.000 0.000
I1 0.000 0.000 0.500
Si1 0.500 0.500 0.500
Sb2 0.000 0.500 0.000
```

---

Arrangement 3

Computed, not measured: a geometry-optimized SiSb2OsI structure at the PBE level of DFT.

Computed properties:
**Space group**: P4/mmm (123)
**Crystal system**: tetragonal

Structure (CIF):
```
data_SiSb2OsI
_chemical_formula_sum 'Si1 Sb2 Os1 I1'
_space_group_name_H-M_alt 'P 1'
_space_group_IT_number 1
_cell_length_a 5.022
_cell_length_b 5.022
_cell_length_c 5.118
_cell_angle_alpha 90.00
_cell_angle_beta 90.00
_cell_angle_gamma 90.00
loop_
_space_group_symop_operation_xyz
'x,y,z'
loop_
_atom_site_label
_atom_site_fract_x
_atom_site_fract_y
_atom_site_fract_z
I1 0.000 0.000 0.500
Os1 0.500 0.500 0.500
Sb1 0.500 0.000 0.000
Si1 0.000 0.000 0.000
Sb2 0.000 0.500 0.000
```

---

Q: What are the energies relative to the best structure? A: arrangement 1 0.0; arrangement 2 51.4; arrangement 3 114.7, in kJ/mol of atoms.

---

Arrangement 1

Computed, not measured: a geometry-optimized SiSbOsI2 structure at the PBE level of DFT.

Computed properties:
**Space group**: P4/mmm (123)
**Crystal system**: tetragonal

Structure (CIF):
```
data_SiSbOsI2
_chemical_formula_sum 'Si1 Sb1 Os1 I2'
_space_group_name_H-M_alt 'P 1'
_space_group_IT_number 1
_cell_length_a 5.499
_cell_length_b 5.499
_cell_length_c 5.022
_cell_angle_alpha 90.00
_cell_angle_beta 90.00
_cell_angle_gamma 90.00
loop_
_space_group_symop_operation_xyz
'x,y,z'
loop_
_atom_site_label
_atom_site_fract_x
_atom_site_fract_y
_atom_site_fract_z
I1 0.000 0.500 0.000
Os1 0.000 0.000 0.000
Sb1 0.000 0.000 0.500
I2 0.500 0.000 0.000
Si1 0.500 0.500 0.500
```

---

Arrangement 2

Computed, not measured: a geometry-optimized SiSbOsI2 structure at the PBE level of DFT.

Computed properties:
**Space group**: P4/mmm (123)
**Crystal system**: tetragonal

Structure (CIF):
```
data_SiSbOsI2
_chemical_formula_sum 'Si1 Sb1 Os1 I2'
_space_group_name_H-M_alt 'P 1'
_space_group_IT_number 1
_cell_length_a 5.318
_cell_length_b 5.318
_cell_length_c 5.450
_cell_angle_alpha 90.00
_cell_angle_beta 90.00
_cell_angle_gamma 90.00
loop_
_space_group_symop_operation_xyz
'x,y,z'
loop_
_atom_site_label
_atom_site_fract_x
_atom_site_fract_y
_atom_site_fract_z
I1 0.500 0.000 0.000
Os1 0.500 0.500 0.500
I2 0.000 0.500 0.000
Sb1 0.000 0.000 0.500
Si1 0.000 0.000 0.000
```

---

Q: What are the energies relative to the best structure? A: arrangement 1 0.0; arrangement 2 50.5, in kJ/mol of atoms.

---

Arrangement 1

Computed, not measured: a geometry-optimized TaSbOsI2 structure at the PBE level of DFT.

Computed properties:
**Space group**: P4/mmm (123)
**Crystal system**: tetragonal

Structure (CIF):
```
data_TaSbOsI2
_chemical_formula_sum 'Ta1 Sb1 Os1 I2'
_space_group_name_H-M_alt 'P 1'
_space_group_IT_number 1
_cell_length_a 5.388
_cell_length_b 5.388
_cell_length_c 5.552
_cell_angle_alpha 90.00
_cell_angle_beta 90.00
_cell_angle_gamma 90.00
loop_
_space_group_symop_operation_xyz
'x,y,z'
loop_
_atom_site_label
_atom_site_fract_x
_atom_site_fract_y
_atom_site_fract_z
I1 0.000 0.500 0.000
Sb1 0.000 0.000 0.500
Ta1 0.000 0.000 0.000
Os1 0.500 0.500 0.500
I2 0.500 0.000 0.000
```

---

Arrangement 2

Computed, not measured: a geometry-optimized TaSbOsI2 structure at the PBE level of DFT.

Computed properties:
**Space group**: P4/mmm (123)
**Crystal system**: tetragonal

Structure (CIF):
```
data_TaSbOsI2
_chemical_formula_sum 'Ta1 Sb1 Os1 I2'
_space_group_name_H-M_alt 'P 1'
_space_group_IT_number 1
_cell_length_a 5.351
_cell_length_b 5.351
_cell_length_c 5.059
_cell_angle_alpha 90.00
_cell_angle_beta 90.00
_cell_angle_gamma 90.00
loop_
_space_group_symop_operation_xyz
'x,y,z'
loop_
_atom_site_label
_atom_site_fract_x
_atom_site_fract_y
_atom_site_fract_z
I1 0.500 0.000 0.000
Ta1 0.500 0.500 0.500
I2 0.000 0.500 0.000
Os1 0.000 0.000 0.000
Sb1 0.000 0.000 0.500
```

---

Q: What are the energies relative to the best structure? A: arrangement 1 8.1; arrangement 2 0.0, in kJ/mol of atoms.

---

Arrangement 1

Computed, not measured: a geometry-optimized Sb2TeOsI structure at the PBE level of DFT.

Computed properties:
**Space group**: P4/mmm (123)
**Crystal system**: tetragonal

Structure (CIF):
```
data_Sb2TeOsI
_chemical_formula_sum 'Sb2 Te1 Os1 I1'
_space_group_name_H-M_alt 'P 1'
_space_group_IT_number 1
_cell_length_a 5.130
_cell_length_b 5.130
_cell_length_c 5.546
_cell_angle_alpha 90.00
_cell_angle_beta 90.00
_cell_angle_gamma 90.00
loop_
_space_group_symop_operation_xyz
'x,y,z'
loop_
_atom_site_label
_atom_site_fract_x
_atom_site_fract_y
_atom_site_fract_z
Sb1 0.000 0.500 0.000
I1 0.000 0.000 0.500
Te1 0.500 0.500 0.500
Sb2 0.500 0.000 0.000
Os1 0.000 0.000 0.000
```

---

Arrangement 2

Computed, not measured: a geometry-optimized Sb2TeOsI structure at the PBE level of DFT.

Computed properties:
**Space group**: P4/mmm (123)
**Crystal system**: tetragonal

Structure (CIF):
```
data_Sb2TeOsI
_chemical_formula_sum 'Sb2 Te1 Os1 I1'
_space_group_name_H-M_alt 'P 1'
_space_group_IT_number 1
_cell_length_a 5.175
_cell_length_b 5.175
_cell_length_c 5.467
_cell_angle_alpha 90.00
_cell_angle_beta 90.00
_cell_angle_gamma 90.00
loop_
_space_group_symop_operation_xyz
'x,y,z'
loop_
_atom_site_label
_atom_site_fract_x
_atom_site_fract_y
_atom_site_fract_z
I1 0.500 0.500 0.500
Os1 0.000 0.000 0.000
Sb1 0.500 0.000 0.000
Sb2 0.000 0.500 0.000
Te1 0.000 0.000 0.500
```

---

Q: What are the energies relative to the best structure? A: arrangement 1 4.2; arrangement 2 0.0, in kJ/mol of atoms.

---

Arrangement 1

Computed, not measured: a geometry-optimized SbTeOsI2 structure at the PBE level of DFT.

Computed properties:
**Space group**: P4/mmm (123)
**Crystal system**: tetragonal

Structure (CIF):
```
data_SbTeOsI2
_chemical_formula_sum 'Sb1 Te1 Os1 I2'
_space_group_name_H-M_alt 'P 1'
_space_group_IT_number 1
_cell_length_a 5.387
_cell_length_b 5.387
_cell_length_c 5.177
_cell_angle_alpha 90.00
_cell_angle_beta 90.00
_cell_angle_gamma 90.00
loop_
_space_group_symop_operation_xyz
'x,y,z'
loop_
_atom_site_label
_atom_site_fract_x
_atom_site_fract_y
_atom_site_fract_z
I1 0.500 0.000 0.000
I2 0.000 0.500 0.000
Os1 0.000 0.000 0.000
Te1 0.500 0.500 0.500
Sb1 0.000 0.000 0.500
```

---

Arrangement 2

Computed, not measured: a geometry-optimized SbTeOsI2 structure at the PBE level of DFT.

Computed properties:
**Space group**: P4/mmm (123)
**Crystal system**: tetragonal

Structure (CIF):
```
data_SbTeOsI2
_chemical_formula_sum 'Sb1 Te1 Os1 I2'
_space_group_name_H-M_alt 'P 1'
_space_group_IT_number 1
_cell_length_a 5.386
_cell_length_b 5.386
_cell_length_c 5.181
_cell_angle_alpha 90.00
_cell_angle_beta 90.00
_cell_angle_gamma 90.00
loop_
_space_group_symop_operation_xyz
'x,y,z'
loop_
_atom_site_label
_atom_site_fract_x
_atom_site_fract_y
_atom_site_fract_z
Os1 0.000 0.000 0.000
I1 0.000 0.500 0.000
Sb1 0.500 0.500 0.500
Te1 0.000 0.000 0.500
I2 0.500 0.000 0.000
```

---

Q: What are the energies relative to the best structure? A: arrangement 1 0.0; arrangement 2 3.2, in kJ/mol of atoms.